# LaMn7O12

A geometry-optimized LaMn7O12 structure (GGA+U, Alexandria).

```
LaMn7O12
1.0
-3.795 3.795 3.795
3.795 -3.795 3.795
3.795 3.795 -3.795
La Mn O
1 7 12
direct
0.000 0.000 0.000
0.000 0.000 0.500
0.000 0.500 0.000
0.000 0.500 0.500
0.500 0.000 0.000
0.500 0.000 0.500
0.500 0.500 0.000
0.500 0.500 0.500
0.133 0.825 0.308
0.175 0.308 0.483
0.175 0.692 0.867
0.308 0.133 0.825
0.308 0.483 0.175
0.483 0.175 0.308
0.517 0.825 0.692
0.692 0.517 0.825
0.692 0.867 0.175
0.825 0.308 0.133
0.825 0.692 0.517
0.867 0.175 0.692
```

Summary:
For the spin magnetization, the calculation gives 28.00 Bohr magnetons per cell. The calculation puts the total energy at -7.6731 eV/atom. As for the space group: Im-3, No. 204.